First-principles (PBE-GGA) data for TaTlCr2 after structural relaxation, as listed in the Alexandria database.

```
TaTlCr2
1.0
1.6028 -2.3942 0.0000
1.6028 2.3942 0.0000
0.0000 0.0000 8.6496
Ta Tl Cr
1 1 2
Direct
0.0000 0.0000 0.0000
0.0000 0.0000 0.5000
0.5000 0.5000 0.2310
0.5000 0.5000 0.7690
```

## Properties
* total DFT energy (no corrections): -7.7676 eV per atom
* E_form: 0.60 eV per atom
* spin magnetization: 0.0 μB/f.u.
* D(E_F): 3.091 states/eV per cell